# PrCuSnPt3, relaxed, DFT GGA-PBE
data_PrCuSnPt3
_chemical_formula_sum 'Pr4 Cu4 Sn4 Pt12'
_symmetry_space_group_name_H-M 'C m c m'
_symmetry_Int_Tables_number 63
_symmetry_space_group_name_Hall '-C 2c 2'
_cell_length_a 5.747
_cell_length_b 11.817
_cell_length_c 7.368
_cell_angle_alpha 90.00
_cell_angle_beta 90.00
_cell_angle_gamma 90.00
loop_
_atom_site_label
_atom_site_type_symbol
_atom_site_fract_x
_atom_site_fract_y
_atom_site_fract_z
_atom_site_occupancy
Pr1 Pr 0.000 0.176 0.250 1
Cu1 Cu 0.000 0.422 0.250 1
Sn1 Sn 0.000 0.127 0.750 1
Pt1 Pt 0.000 0.348 0.750 1
Pt2 Pt 0.250 0.000 0.000 1
# **DFT total energy**: -5.699 eV/atom
# **Volume**: 20.85 A^3/atom
# **Formation enthalpy at 0 K**: -0.5319 eV per atom

=====

# PrThCuPt, relaxed, DFT GGA-PBE
data_PrThCuPt
_chemical_formula_sum 'Pr2 Th2 Cu2 Pt2'
_symmetry_space_group_name_H-M 'A m m 2'
_symmetry_Int_Tables_number 38
_cell_length_a 4.367
_cell_length_b 3.920
_cell_length_c 11.532
_cell_angle_alpha 90.00
_cell_angle_beta 90.00
_cell_angle_gamma 90.00
loop_
_symmetry_equiv_pos_as_xyz
'x,y,z'
'-x,-y,z'
'-x,y,z'
'x,-y,z'
'x,y+1/2,z+1/2'
'-x,-y+1/2,z+1/2'
'-x,y+1/2,z+1/2'
'x,-y+1/2,z+1/2'
loop_
_atom_site_label
_atom_site_type_symbol
_atom_site_fract_x
_atom_site_fract_y
_atom_site_fract_z
_atom_site_occupancy
Pr1 Pr 0.000 0.000 0.000 1
Th1 Th 0.500 0.000 0.731 1
Cu1 Cu 0.500 0.000 0.434 1
Pt1 Pt 0.000 0.000 0.270 1
# **DFT total energy**: -6.266 eV/atom
# **Volume**: 24.67 A^3/atom
# **Formation enthalpy at 0 K**: -0.6823 eV per atom

=====

# PrThCuPt, relaxed, DFT GGA-PBE
data_PrThCuPt
_chemical_formula_sum 'Pr4 Th4 Cu4 Pt4'
_symmetry_space_group_name_H-M 'F -4 3 m'
_symmetry_Int_Tables_number 216
_symmetry_space_group_name_Hall 'F -4 2 3'
_cell_length_a 7.232
_cell_length_b 7.232
_cell_length_c 7.232
_cell_angle_alpha 90.00
_cell_angle_beta 90.00
_cell_angle_gamma 90.00
loop_
_atom_site_label
_atom_site_type_symbol
_atom_site_fract_x
_atom_site_fract_y
_atom_site_fract_z
_atom_site_occupancy
Pr1 Pr 0.000 0.000 0.000 1
Th1 Th 0.000 0.000 0.500 1
Cu1 Cu 0.250 0.250 0.750 1
Pt1 Pt 0.250 0.250 0.250 1
# **DFT total energy**: -6.131 eV/atom
# **Volume**: 23.64 A^3/atom
# **Formation enthalpy at 0 K**: -0.5467 eV per atom

=====

# PrTlCuPt, relaxed, DFT GGA-PBE
data_PrTlCuPt
_chemical_formula_sum 'Pr4 Tl4 Cu4 Pt4'
_symmetry_space_group_name_H-M 'F -4 3 m'
_symmetry_Int_Tables_number 216
_symmetry_space_group_name_Hall 'F -4 2 3'
_cell_length_a 6.992
_cell_length_b 6.992
_cell_length_c 6.992
_cell_angle_alpha 90.00
_cell_angle_beta 90.00
_cell_angle_gamma 90.00
loop_
_atom_site_label
_atom_site_type_symbol
_atom_site_fract_x
_atom_site_fract_y
_atom_site_fract_z
_atom_site_occupancy
Pr1 Pr 0.000 0.000 0.000 1
Tl1 Tl 0.000 0.000 0.500 1
Cu1 Cu 0.250 0.250 0.250 1
Pt1 Pt 0.250 0.250 0.750 1
# **DFT total energy**: -4.702 eV/atom
# **Volume**: 21.36 A^3/atom
# **Formation enthalpy at 0 K**: -0.3817 eV per atom